[1]
! La3SbN | the Alexandria database | PBE | relaxed; values from VASP
&SYSTEM
  ibrav = 0, nat = 10, ntyp = 3
/
ATOMIC_SPECIES
Sb 121.76 Sb.upf
N 14.01 N.upf
La 138.91 La.upf
CELL_PARAMETERS angstrom
-1.621 6.535 -1.290
-3.794 -4.931 -2.878
-4.700 0.043 6.124
ATOMIC_POSITIONS crystal
Sb 0.454 0.546 0.250
Sb 0.546 0.454 0.750
N 0.122 0.878 0.250
N 0.878 0.122 0.750
La 0.961 0.511 0.250
La 0.489 0.039 0.250
La 0.511 0.961 0.750
La 0.039 0.489 0.750
La 0.000 0.000 0.000
La 0.000 0.000 0.500
! Total moment (μB/atom): 0.00
! Formation energy without anion corrections (meV per atom): -716
! DFT total energy (eV/atom): -6.16
! DOS(E_F) (states/eV/f.u.): 3.84
! Theoretical density (g cm⁻³): 5.8
! SG: Cmcm (63)

=====

[2]
! La3SbN | the Alexandria database | PBE | relaxed; values from VASP
&SYSTEM
  ibrav = 0, nat = 10, ntyp = 3
/
ATOMIC_SPECIES
Sb 121.76 Sb.upf
N 14.01 N.upf
La 138.91 La.upf
CELL_PARAMETERS angstrom
-3.231 2.580 1.419
-0.832 -3.132 -2.934
-3.435 -11.725 13.491
ATOMIC_POSITIONS crystal
Sb 0.000 0.000 0.000
Sb 0.000 0.000 0.500
N 0.333 0.667 0.750
N 0.667 0.333 0.250
La 0.000 0.000 0.250
La 0.000 0.000 0.750
La 0.333 0.667 0.893
La 0.333 0.667 0.607
La 0.667 0.333 0.393
La 0.667 0.333 0.107
! Total moment (μB/atom): 0.00
! Formation energy without anion corrections (meV per atom): -885
! DFT total energy (eV/atom): -6.33
! DOS(E_F) (states/eV/f.u.): 6.54
! Theoretical density (g cm⁻³): 6.1
! SG: P6_3/mmc (194)

=====

[3]
! La3SbN | the Alexandria database | PBE | relaxed; values from VASP
&SYSTEM
  ibrav = 0, nat = 10, ntyp = 3
/
ATOMIC_SPECIES
Sb 121.76 Sb.upf
N 14.01 N.upf
La 138.91 La.upf
CELL_PARAMETERS angstrom
-0.515 8.100 -5.487
-0.269 -2.042 9.578
6.067 0.586 0.295
ATOMIC_POSITIONS crystal
Sb 0.168 0.832 0.250
Sb 0.832 0.168 0.750
N 0.380 0.620 0.250
N 0.620 0.380 0.750
La 0.077 0.419 0.250
La 0.581 0.923 0.250
La 0.419 0.077 0.750
La 0.923 0.581 0.750
La 0.000 0.000 0.000
La 0.000 0.000 0.500
! Total moment (μB/atom): 0.00
! Formation energy without anion corrections (meV per atom): -437
! DFT total energy (eV/atom): -5.88
! DOS(E_F) (states/eV/f.u.): 3.40
! Theoretical density (g cm⁻³): 4.5
! SG: Cmcm (63)

=====

[4]
! LaSbN | the Alexandria database | PBE | relaxed; values from VASP
&SYSTEM
  ibrav = 0, nat = 6, ntyp = 3
/
ATOMIC_SPECIES
La 138.91 La.upf
Sb 121.76 Sb.upf
N 14.01 N.upf
CELL_PARAMETERS angstrom
4.185 0.000 -0.001
0.000 4.185 0.001
0.001 -0.001 8.648
ATOMIC_POSITIONS crystal
La 0.250 0.750 0.369
La 0.750 0.250 0.631
Sb 0.250 0.750 0.944
Sb 0.750 0.250 0.056
N 0.750 0.750 0.500
N 0.250 0.250 0.500
! Total moment (μB/atom): 0.13
! Formation energy without anion corrections (meV per atom): -781
! DFT total energy (eV/atom): -6.57
! DOS(E_F) (states/eV/f.u.): 2.20
! Theoretical density (g cm⁻³): 6.0
! SG: P4/nmm (129)

=====

[5]
! La12Sb3N5 | the Alexandria database | PBE | relaxed; values from VASP
&SYSTEM
  ibrav = 0, nat = 80, ntyp = 3
/
ATOMIC_SPECIES
Sb 121.76 Sb.upf
N 14.01 N.upf
La 138.91 La.upf
CELL_PARAMETERS angstrom
-6.324 12.801 1.198
-8.310 -10.013 5.999
12.684 0.297 6.658
ATOMIC_POSITIONS crystal
Sb 0.750 0.375 0.125
Sb 0.875 0.750 0.125
Sb 0.375 0.750 0.625
Sb 0.250 0.125 0.375
Sb 0.875 0.125 0.250
Sb 0.375 0.625 0.250
Sb 0.625 0.375 0.750
Sb 0.125 0.875 0.750
Sb 0.750 0.875 0.625
Sb 0.625 0.250 0.375
Sb 0.125 0.250 0.875
Sb 0.250 0.625 0.875
N 0.125 0.375 0.250
N 0.000 0.500 0.000
N 0.000 0.000 0.000
N 0.375 0.250 0.125
N 0.500 0.000 0.500
N 0.500 0.500 0.000
N 0.125 0.750 0.375
N 0.750 0.125 0.875
N 0.750 0.625 0.375
N 0.375 0.125 0.750
N 0.625 0.875 0.250
N 0.500 0.500 0.500
N 0.500 0.000 0.000
N 0.000 0.000 0.500
N 0.250 0.375 0.625
N 0.250 0.875 0.125
N 0.000 0.500 0.500
N 0.875 0.250 0.625
N 0.625 0.750 0.875
N 0.875 0.625 0.750
La 0.697 0.110 0.011
La 0.314 0.511 0.402
La 0.989 0.390 0.303
La 0.511 0.197 0.110
La 0.587 0.697 0.686
La 0.989 0.598 0.186
La 0.314 0.803 0.413
La 0.098 0.913 0.110
La 0.598 0.989 0.686
La 0.697 0.587 0.186
La 0.803 0.489 0.390
La 0.814 0.902 0.011
La 0.110 0.697 0.511
La 0.390 0.402 0.087
La 0.087 0.902 0.390
La 0.413 0.110 0.598
La 0.087 0.186 0.197
La 0.489 0.686 0.098
La 0.814 0.913 0.303
La 0.110 0.413 0.098
La 0.390 0.989 0.803
La 0.598 0.610 0.413
La 0.902 0.814 0.511
La 0.803 0.314 0.913
La 0.402 0.390 0.587
La 0.098 0.186 0.489
La 0.197 0.686 0.087
La 0.186 0.087 0.697
La 0.610 0.011 0.197
La 0.890 0.587 0.902
La 0.511 0.314 0.902
La 0.587 0.890 0.402
La 0.913 0.814 0.803
La 0.913 0.098 0.610
La 0.890 0.303 0.489
La 0.186 0.098 0.989
La 0.610 0.598 0.913
La 0.402 0.011 0.314
La 0.303 0.413 0.814
La 0.197 0.511 0.610
La 0.902 0.087 0.890
La 0.686 0.197 0.587
La 0.489 0.803 0.890
La 0.011 0.402 0.814
La 0.413 0.303 0.314
La 0.011 0.610 0.697
La 0.686 0.489 0.598
La 0.303 0.890 0.989
! Total moment (μB/atom): 0.18
! Formation energy without anion corrections (meV per atom): -1003
! DFT total energy (eV/atom): -6.66
! DOS(E_F) (states/eV/f.u.): 16.07
! Theoretical density (g cm⁻³): 6.2
! SG: Ia-3d (230)

=====

[6]
! La3Sb3N | the Alexandria database | PBE | relaxed; values from VASP
&SYSTEM
  ibrav = 0, nat = 14, ntyp = 3
/
ATOMIC_SPECIES
La 138.91 La.upf
Sb 121.76 Sb.upf
N 14.01 N.upf
CELL_PARAMETERS angstrom
7.025 0.004 -0.746
-2.392 6.605 -0.746
-0.202 -0.288 8.979
ATOMIC_POSITIONS crystal
La 0.151 0.151 0.882
La 0.441 0.110 0.260
La 0.110 0.441 0.260
La 0.559 0.890 0.740
La 0.890 0.559 0.740
La 0.849 0.849 0.118
Sb 0.366 0.366 0.579
Sb 0.127 0.873 0.500
Sb 0.873 0.127 0.500
Sb 0.302 0.698 0.000
Sb 0.698 0.302 0.000
Sb 0.634 0.634 0.421
N 0.153 0.153 0.143
N 0.847 0.847 0.857
! Total moment (μB/atom): 0.00
! Formation energy without anion corrections (meV per atom): -1129
! DFT total energy (eV/atom): -6.20
! DOS(E_F) (states/eV/f.u.): 2.50
! Theoretical density (g cm⁻³): 6.4
! SG: C2/m (12)

=====

[7]
! La3SbN | the Alexandria database | PBE | relaxed; values from VASP
&SYSTEM
  ibrav = 0, nat = 20, ntyp = 3
/
ATOMIC_SPECIES
Sb 121.76 Sb.upf
N 14.01 N.upf
La 138.91 La.upf
CELL_PARAMETERS angstrom
0.000 6.711 6.711
6.711 0.000 6.711
6.711 6.711 0.000
ATOMIC_POSITIONS crystal
Sb 0.625 0.625 0.625
Sb 0.625 0.125 0.625
Sb 0.125 0.625 0.625
Sb 0.625 0.625 0.125
N 0.125 0.125 0.125
N 0.125 0.625 0.125
N 0.625 0.125 0.125
N 0.125 0.125 0.625
La 0.803 0.197 0.197
La 0.053 0.447 0.447
La 0.447 0.447 0.053
La 0.447 0.053 0.053
La 0.053 0.447 0.053
La 0.803 0.197 0.803
La 0.447 0.053 0.447
La 0.053 0.053 0.447
La 0.197 0.803 0.197
La 0.197 0.803 0.803
La 0.197 0.197 0.803
La 0.803 0.803 0.197
! Total moment (μB/atom): 0.23
! Formation energy without anion corrections (meV per atom): -664
! DFT total energy (eV/atom): -6.11
! DOS(E_F) (states/eV/f.u.): 7.41
! Theoretical density (g cm⁻³): 6.1
! SG: Fd-3m (227)

=====

[8]
! La3SbN | the Alexandria database | PBE | relaxed; values from VASP
&SYSTEM
  ibrav = 0, nat = 20, ntyp = 3
/
ATOMIC_SPECIES
Sb 121.76 Sb.upf
N 14.01 N.upf
La 138.91 La.upf
CELL_PARAMETERS angstrom
26.892 0.000 -2.457
0.000 6.605 0.000
-9.535 0.000 3.969
ATOMIC_POSITIONS crystal
Sb 0.025 0.165 0.436
Sb 0.975 0.835 0.564
Sb 0.475 0.665 0.064
Sb 0.525 0.335 0.936
N 0.520 0.761 0.643
N 0.480 0.239 0.357
N 0.980 0.261 0.857
N 0.020 0.739 0.143
La 0.305 0.902 0.951
La 0.695 0.098 0.049
La 0.195 0.402 0.549
La 0.805 0.598 0.451
La 0.359 0.416 0.251
La 0.641 0.584 0.749
La 0.141 0.916 0.249
La 0.859 0.084 0.751
La 0.400 0.850 0.552
La 0.600 0.150 0.448
La 0.100 0.350 0.948
La 0.900 0.650 0.052
! Total moment (μB/atom): 0.00
! Formation energy without anion corrections (meV per atom): -945
! DFT total energy (eV/atom): -6.39
! DOS(E_F) (states/eV/f.u.): 3.75
! Theoretical density (g cm⁻³): 6.7
! SG: P2_1/c (14)

=====

[9]
! La3SbN | the Alexandria database | PBE | relaxed; values from VASP
&SYSTEM
  ibrav = 0, nat = 5, ntyp = 3
/
ATOMIC_SPECIES
Sb 121.76 Sb.upf
N 14.01 N.upf
La 138.91 La.upf
CELL_PARAMETERS angstrom
-1.178 1.292 3.212
-6.006 -1.615 -1.554
0.211 -5.917 2.457
ATOMIC_POSITIONS crystal
Sb 0.500 0.076 0.924
N 0.000 0.679 0.321
La 0.500 0.558 0.091
La 0.500 0.909 0.442
La 0.000 0.406 0.594
! Total moment (μB/atom): 0.00
! Formation energy without anion corrections (meV per atom): -746
! DFT total energy (eV/atom): -6.19
! DOS(E_F) (states/eV/f.u.): 6.30
! Theoretical density (g cm⁻³): 6.1
! SG: Amm2 (38)

=====

[10]
! La3SbN | the Alexandria database | PBE | relaxed; values from VASP
&SYSTEM
  ibrav = 0, nat = 20, ntyp = 3
/
ATOMIC_SPECIES
Sb 121.76 Sb.upf
N 14.01 N.upf
La 138.91 La.upf
CELL_PARAMETERS angstrom
-13.388 -15.839 -7.794
1.622 -3.991 5.325
2.203 7.230 4.748
ATOMIC_POSITIONS crystal
Sb 0.411 0.758 0.420
Sb 0.589 0.242 0.580
Sb 0.089 0.258 0.080
Sb 0.911 0.742 0.920
N 0.162 0.312 0.733
N 0.838 0.688 0.267
N 0.338 0.812 0.767
N 0.662 0.188 0.233
La 0.237 0.014 0.739
La 0.763 0.986 0.261
La 0.263 0.514 0.761
La 0.737 0.486 0.239
La 0.347 0.264 0.337
La 0.653 0.736 0.663
La 0.153 0.764 0.163
La 0.847 0.236 0.837
La 0.540 0.787 0.059
La 0.460 0.213 0.941
La 0.960 0.287 0.441
La 0.040 0.713 0.559
! Total moment (μB/atom): 0.00
! Formation energy without anion corrections (meV per atom): -925
! DFT total energy (eV/atom): -6.37
! DOS(E_F) (states/eV/f.u.): 2.23
! Theoretical density (g cm⁻³): 6.7
! SG: P2_1/c (14)

=====

[11]
! La6Sb5N | the Alexandria database | PBE | relaxed; values from VASP
&SYSTEM
  ibrav = 0, nat = 12, ntyp = 3
/
ATOMIC_SPECIES
La 138.91 La.upf
Sb 121.76 Sb.upf
N 14.01 N.upf
CELL_PARAMETERS angstrom
7.774 0.247 0.000
2.422 7.446 0.000
1.211 3.723 6.697
ATOMIC_POSITIONS crystal
La 0.777 0.072 0.297
La 0.223 0.631 0.297
La 0.244 0.228 0.000
La 0.756 0.772 0.000
La 0.777 0.369 0.703
La 0.223 0.928 0.703
Sb 0.500 0.179 0.642
Sb 0.000 0.336 0.328
Sb 0.500 0.500 0.000
Sb 0.000 0.664 0.672
Sb 0.500 0.821 0.358
N 0.000 0.000 0.000
! Total moment (μB/atom): 0.00
! Formation energy without anion corrections (meV per atom): -1129
! DFT total energy (eV/atom): -6.00
! DOS(E_F) (states/eV/f.u.): 2.40
! Theoretical density (g cm⁻³): 6.3
! SG: C2/m (12)

=====

[12]
! La3SbN | the Alexandria database | PBE | relaxed; values from VASP
&SYSTEM
  ibrav = 0, nat = 10, ntyp = 3
/
ATOMIC_SPECIES
Sb 121.76 Sb.upf
La 138.91 La.upf
N 14.01 N.upf
CELL_PARAMETERS angstrom
-3.675 -3.696 -1.163
5.184 -6.113 3.053
-3.091 -2.687 6.034
ATOMIC_POSITIONS crystal
Sb 0.351 0.784 0.763
Sb 0.351 0.284 0.763
La 0.836 0.525 0.794
La 0.142 0.948 0.181
La 0.143 0.422 0.180
La 0.560 0.621 0.346
La 0.559 0.146 0.347
La 0.866 0.043 0.733
N 0.653 0.437 0.158
N 0.049 0.132 0.369
! Total moment (μB/atom): 0.00
! Formation energy without anion corrections (meV per atom): -1027
! DFT total energy (eV/atom): -6.47
! DOS(E_F) (states/eV/f.u.): 3.04
! Theoretical density (g cm⁻³): 6.2
! SG: C2/m (12)